1.
DFT (GGA-PBE) results for crystalline MoRhPb2Au at its relaxed geometry.

Cell and atoms, written as POSCAR:
```
MoRhPb2Au
1.0
5.125 0.000 0.000
0.000 5.219 0.000
0.000 0.000 5.125
Mo Pb Rh Au
1 2 1 1
Cartesian
2.562 2.610 2.562
2.562 0.000 0.000
0.000 0.000 2.562
0.000 0.000 0.000
0.000 2.610 0.000
```

M_tot	4.479	μB/f.u.
DOS at the Fermi energy	0.6281	states/eV/atom
crystal system	tetragonal
energy of formation from the pure elements	1003	meV/atom


2.
DFT (GGA-PBE) results for crystalline SiMoPbAu2 at its relaxed geometry.

Cell and atoms, written as POSCAR:
```
SiMoPbAu2
1.0
-0.265 4.893 1.550
-4.688 -0.202 -0.163
-0.104 -1.557 4.897
Au Pb Si Mo
2 1 1 1
Cartesian
-0.132 2.447 0.775
-0.052 -0.778 2.449
-2.528 1.567 3.142
-2.344 -0.101 -0.082
0.000 0.000 0.000
```

M_tot	0.000	μB/f.u.
DOS at the Fermi energy	0.5712	states/eV/atom
formation energy (no corrections)	0.65	eV/atom
crystal system	tetragonal


3.
DFT (GGA-PBE) results for crystalline SrMoPb2Au at its relaxed geometry.

Cell and atoms, written as POSCAR:
```
SrMoPb2Au
1.0
-1.330 -2.772 5.153
4.326 -2.626 -0.296
2.831 4.320 3.054
Sr Pb Mo Au
1 2 1 1
Cartesian
0.000 0.000 0.000
-0.665 -1.386 2.577
1.415 2.160 1.527
2.163 -1.313 -0.148
2.913 -0.539 3.956
```

M_tot	2.021	μB/f.u.
DOS at the Fermi energy	0.7768	states/eV/atom
crystal system	tetragonal
energy of formation from the pure elements	1751	meV/atom


4.
DFT (GGA-PBE) results for crystalline TaMoPbAu2 at its relaxed geometry.

Cell and atoms, written as POSCAR:
```
TaMoPbAu2
1.0
4.959 0.000 0.000
0.000 5.161 0.000
0.000 0.000 4.959
Mo Au Ta Pb
1 2 1 1
Cartesian
0.000 0.000 0.000
2.479 0.000 0.000
0.000 0.000 2.479
2.479 2.581 2.479
0.000 2.581 0.000
```

M_tot	0.002	μB/f.u.
DOS at the Fermi energy	1.2953	states/eV/atom
crystal system	tetragonal
energy of formation from the pure elements	1718	meV/atom


5.
DFT (GGA-PBE) results for crystalline MoPd8Au2 at its relaxed geometry.

Cell and atoms, written as POSCAR:
```
MoPd8Au2
1.0
-2.403 -3.213 -1.763
3.936 -3.147 4.594
-5.366 4.109 3.161
Pd Au Mo
8 2 1
Cartesian
2.401 -2.054 4.758
-0.868 -1.001 5.118
-0.354 -0.711 1.716
-2.966 -1.250 0.874
-0.150 -3.451 0.550
-6.235 -0.197 1.234
-3.479 -1.540 4.277
1.682 -2.909 2.281
-1.027 -2.818 3.199
-2.807 0.567 2.793
-1.202 -1.607 -0.882
```

M_tot	0.000	μB/f.u.
DOS at the Fermi energy	0.7064	states/eV/atom
crystal system	monoclinic
energy of formation from the pure elements	148	meV/atom


6.
DFT (GGA-PBE) results for crystalline MoPd3Au at its relaxed geometry.

Cell and atoms, written as POSCAR:
```
MoPd3Au
1.0
4.771 0.000 0.000
0.000 4.771 0.000
0.000 0.000 4.771
Pd Au Mo
3 1 1
Cartesian
0.000 2.385 0.000
2.385 0.000 0.000
0.000 0.000 2.385
2.385 2.385 2.385
0.000 0.000 0.000
```

M_tot	0.000	μB/f.u.
DOS at the Fermi energy	0.7496	states/eV/atom
crystal system	cubic
relative energy among the computed polymorphs	1130	meV/atom
energy of formation from the pure elements	1147	meV/atom


7.
DFT (GGA-PBE) results for crystalline MoPd2Au at its relaxed geometry.

Cell and atoms, written as POSCAR:
```
MoPd2Au
1.0
-1.974 -3.586 -1.864
-4.487 -0.307 -0.084
-2.211 0.420 -3.895
Pd Au Mo
2 1 1
Cartesian
-6.504 -2.605 -4.382
-2.168 -0.868 -1.461
-4.336 -1.737 -2.921
0.000 0.000 0.000
```

M_tot	0.000	μB/f.u.
DOS at the Fermi energy	1.2136	states/eV/atom
crystal system	cubic
relative energy among the computed polymorphs	280	meV/atom
energy of formation from the pure elements	188	meV/atom


8.
DFT (GGA-PBE) results for crystalline MoPd4Au at its relaxed geometry.

Cell and atoms, written as POSCAR:
```
MoPd4Au
1.0
-4.268 2.164 0.196
-3.269 -6.274 -1.917
2.552 0.961 6.516
Mo Au Pd
2 2 8
Cartesian
-0.372 -1.300 4.891
-4.612 -1.849 -0.096
-0.160 -0.598 2.228
-4.825 -2.552 2.566
-2.845 -0.495 1.180
-4.879 -4.400 -0.013
-2.542 -3.249 0.955
-0.105 1.250 4.808
-0.711 -1.364 -0.417
-2.442 0.099 3.839
-2.558 -4.910 -1.500
-2.139 -2.654 3.615
```

M_tot	0.000	μB/f.u.
DOS at the Fermi energy	0.6981	states/eV/atom
crystal system	monoclinic
relative energy among the computed polymorphs	216	meV/atom
energy of formation from the pure elements	122	meV/atom


9.
DFT (GGA-PBE) results for crystalline MoPd4Au at its relaxed geometry.

Cell and atoms, written as POSCAR:
```
MoPd4Au
1.0
2.795 0.000 0.000
0.000 4.027 0.000
0.000 0.001 8.379
Pd Mo Au
4 1 1
Cartesian
0.000 2.014 5.527
1.397 4.028 6.881
1.397 0.000 1.497
0.000 2.014 2.852
1.397 0.000 4.189
0.000 2.014 0.000
```

M_tot	0.000	μB/f.u.
DOS at the Fermi energy	0.7930	states/eV/atom
crystal system	orthorhombic
relative energy among the computed polymorphs	0	meV/atom
energy of formation from the pure elements	-93	meV/atom


10.
DFT (GGA-PBE) results for crystalline MoPdAu2 at its relaxed geometry.

Cell and atoms, written as POSCAR:
```
MoPdAu2
1.0
-2.294 0.185 -7.028
-0.497 -7.378 -0.032
-3.969 -3.427 -2.685
Au Mo Pd
4 2 2
Cartesian
-1.600 -5.444 -1.601
-4.026 -5.301 -4.661
-5.417 -8.831 -8.191
-2.478 -1.664 -5.036
-1.396 -3.597 -3.530
-2.931 -7.201 -3.123
-3.829 -3.419 -6.622
0.000 0.000 0.000
```

M_tot	2.038	μB/f.u.
DOS at the Fermi energy	1.2986	states/eV/atom
crystal system	tetragonal
relative energy among the computed polymorphs	421	meV/atom
energy of formation from the pure elements	659	meV/atom


11.
DFT (GGA-PBE) results for crystalline MoPd2Au at its relaxed geometry.

Cell and atoms, written as POSCAR:
```
MoPd2Au
1.0
-0.475 0.233 2.776
-0.809 -2.260 1.490
8.477 -2.744 3.119
Mo Pd Au
1 2 1
Cartesian
3.597 -2.385 3.692
5.286 -3.553 5.517
1.908 -1.218 1.867
0.000 0.000 0.000
```

M_tot	0.000	μB/f.u.
DOS at the Fermi energy	0.9843	states/eV/atom
crystal system	trigonal
relative energy among the computed polymorphs	53	meV/atom
energy of formation from the pure elements	-39	meV/atom


12.
DFT (GGA-PBE) results for crystalline MoPd5Au4 at its relaxed geometry.

Cell and atoms, written as POSCAR:
```
MoPd5Au4
1.0
2.835 0.000 0.000
0.000 2.835 0.000
0.000 0.000 20.364
Pd Mo Au
5 1 4
Cartesian
1.418 1.418 18.491
1.418 1.418 10.182
1.418 1.418 1.872
1.418 1.418 6.054
1.418 1.418 14.309
0.000 0.000 0.000
0.000 0.000 4.004
0.000 0.000 16.360
0.000 0.000 8.120
0.000 0.000 12.243
```

M_tot	0.000	μB/f.u.
DOS at the Fermi energy	0.5154	states/eV/atom
crystal system	tetragonal
energy of formation from the pure elements	-81	meV/atom